Compound: Nd3PdRh
Source: Alexandria via LeMat-Bulk
Functional: GGA-PBE
Structure: optimized geometry

Cell lengths 8.948, 7.453, 8.474 Å; angles 90.00, 106.26, 90.00 degrees
Space group P2_1/c (No. 14)
Unique sites:
1 Nd 0.046 0.005 0.219 x4
2 Nd 0.285 0.652 0.110 x4
3 Nd 0.352 0.182 0.001 x4
4 Pd 0.410 0.537 0.821 x4
5 Rh 0.061 0.188 0.521 x4

Values from the calculation:
The energy relative to the lowest polymorph listed for this composition is 0 meV/atom. As for the formation enthalpy at 0 K: -0.63 eV/atom.

=====

Compound: KRbSbPb
Source: Alexandria via LeMat-Bulk
Functional: GGA-PBE
Structure: optimized geometry

Cell lengths 8.407, 8.407, 8.407 Å; angles 90.00, 90.00, 90.00 degrees
Space group F-43m (No. 216)
Unique sites:
1 K 0.000 0.000 0.000 x4
2 Rb 0.250 0.250 0.250 x4
3 Sb 0.250 0.250 0.750 x4
4 Pb 0.000 0.000 0.500 x4

Values from the calculation:
The formation energy (no corrections) comes out at -0.62 eV per formula unit.

=====

Compound: Ba2Sr4Li
Source: Alexandria via LeMat-Bulk
Functional: GGA-PBE
Structure: optimized geometry

Cell lengths 6.253, 6.253, 20.795 Å; angles 90.00, 90.00, 90.00 degrees
Space group I4/mmm (No. 139)
Unique sites:
1 Ba 0.000 0.000 0.135 x4
2 Sr 0.000 0.000 0.337 x4
3 Sr 0.000 0.500 0.000 x4
4 Li 0.000 0.000 0.500 x2

Values from the calculation:
The energy relative to the lowest polymorph listed for this composition is 117 meV/atom. As for the formation enthalpy at 0 K: 0.21 eV/atom.

=====

Compound: Sm2As3PdRh4
Source: Alexandria via LeMat-Bulk
Functional: GGA-PBE
Structure: optimized geometry

Cell lengths 4.150, 4.150, 10.632 Å; angles 90.00, 90.00, 90.00 degrees
Space group P-4m2 (No. 115)
Unique sites:
1 Sm 0.000 0.500 0.239 x2
2 As 0.000 0.000 0.000 x1
3 As 0.000 0.500 0.631 x2
4 Pd 0.500 0.500 0.000 x1
5 Rh 0.000 0.000 0.500 x1
6 Rh 0.000 0.500 0.852 x2
7 Rh 0.500 0.500 0.500 x1

Values from the calculation:
As for the formation enthalpy at 0 K: -0.83 eV/atom.

=====

Compound: NaMnSn2
Source: Alexandria via LeMat-Bulk
Functional: GGA-PBE
Structure: optimized geometry

Cell lengths 3.186, 3.186, 8.815 Å; angles 90.00, 90.00, 90.00 degrees
Space group P4/mmm (No. 123)
Unique sites:
1 Na 0.000 0.000 0.000 x1
2 Mn 0.000 0.000 0.500 x1
3 Sn 0.500 0.500 0.290 x2

Values from the calculation:
As for the formation enthalpy at 0 K: -0.03 eV/atom.

=====

Compound: Cs2DyAuO4
Source: Alexandria via LeMat-Bulk
Functional: GGA-PBE
Structure: optimized geometry

Cell lengths 6.201, 14.619, 23.654 Å; angles 90.00, 90.00, 90.00 degrees
Space group Fddd (No. 70, origin choice 2)
Unique sites:
1 Cs 0.125 0.125 0.311 x16
2 Dy 0.125 0.125 0.125 x8
3 Au 0.125 0.125 0.625 x8
4 O 0.112 0.277 0.869 x32

Values from the calculation:
The formation energy (no corrections) comes out at -11.14 eV per formula unit.

=====

Compound: TaCoTcGe2
Source: Alexandria via LeMat-Bulk
Functional: GGA-PBE
Structure: optimized geometry

Cell lengths 4.948, 4.948, 4.688 Å; angles 90.00, 90.00, 90.00 degrees
Space group P4/mmm (No. 123)
Unique sites:
1 Ta 0.000 0.000 0.000 x1
2 Co 0.500 0.500 0.500 x1
3 Tc 0.000 0.000 0.500 x1
4 Ge 0.000 0.500 0.000 x2

Values from the calculation:
As for the formation enthalpy at 0 K: 1.62 eV/atom.

=====

Compound: Mg2Pa2PIr4
Source: Alexandria via LeMat-Bulk
Functional: GGA-PBE
Structure: optimized geometry

Cell lengths 6.304, 6.304, 8.837 Å; angles 90.00, 90.00, 90.00 degrees
Space group I4/mmm (No. 139)
Unique sites:
1 Mg 0.000 0.500 0.250 x4
2 Pa 0.000 0.000 0.203 x4
3 P 0.000 0.000 0.500 x2
4 Ir 0.236 0.236 0.000 x8

Values from the calculation:
As for the formation enthalpy at 0 K: -0.27 eV/atom.

=====

no.,volume (Å³/f.u.),E_tot (eV per atom)
1,135.6,-5.995
2,148.5,-2.628
3,406.6,-1.578
4,183.1,-6.626
5,89.5,-4.652
6,268.0,-5.069
7,114.8,-6.094
8,175.6,-7.271